No. 1
InFeAg2Pb: relaxed, PBE.

The structure in POSCAR format:
```
InFeAg2Pb
1.0
-0.805 4.479 -2.057
1.719 -1.690 -4.353
-4.617 -1.415 -1.274
Pb Fe Ag In
1 1 2 1
Direct
0.500 0.500 0.500
0.000 0.000 0.000
0.000 0.000 0.500
0.500 0.000 0.000
0.000 0.500 0.000
```

Results
- Formation energy: 0.5784 eV/atom
- Crystal system: tetragonal

***

No. 2
InFe2AgPb: relaxed, PBE.

The structure in POSCAR format:
```
InFe2AgPb
1.0
4.923 0.000 0.000
0.000 5.125 0.000
0.000 0.000 4.923
Pb Fe Ag In
1 2 1 1
Direct
0.500 0.500 0.500
0.000 0.000 0.500
0.500 0.000 0.000
0.000 0.500 0.000
0.000 0.000 0.000
```

Results
- Formation energy: 1.0707 eV/atom
- Crystal system: tetragonal

***

No. 3
InFe2AgRh: relaxed, PBE.

The structure in POSCAR format:
```
InFe2AgRh
1.0
-4.212 -0.868 1.058
1.374 -0.784 4.828
-0.662 4.289 0.884
Rh Fe Ag In
1 2 1 1
Direct
0.000 0.000 0.000
0.000 0.000 0.500
0.500 0.000 0.000
0.000 0.500 0.000
0.500 0.500 0.500
```

Results
- Formation energy: 1.2766 eV/atom
- Crystal system: tetragonal

***

No. 4
In2FeAgRu: relaxed, PBE.

The structure in POSCAR format:
```
In2FeAgRu
1.0
-3.484 -0.846 3.517
2.757 -3.872 1.799
2.380 3.141 3.114
Ru Fe Ag In
1 1 1 2
Direct
0.000 0.000 0.000
0.500 0.500 0.500
0.000 0.500 0.000
0.000 0.000 0.500
0.500 0.000 0.000
```

Results
- Formation energy: 1.3613 eV/atom
- Crystal system: tetragonal

***

No. 5
InFeAg2Ru: relaxed, PBE.

The structure in POSCAR format:
```
InFeAg2Ru
1.0
-3.414 2.585 2.035
-3.316 -3.298 -1.375
0.648 -2.348 4.069
Ru Fe Ag In
1 1 2 1
Direct
0.500 0.500 0.500
0.000 0.000 0.000
0.000 0.000 0.500
0.500 0.000 0.000
0.000 0.500 0.000
```

Results
- Formation energy: 1.3102 eV/atom
- Crystal system: tetragonal

***

No. 6
InFeAg2Te: relaxed, PBE.

The structure in POSCAR format:
```
InFeAg2Te
1.0
5.103 0.000 0.000
0.000 5.941 0.000
0.000 0.000 5.103
Te Fe Ag In
1 1 2 1
Direct
0.000 0.500 0.000
0.500 0.500 0.500
0.000 0.000 0.500
0.500 0.000 0.000
0.000 0.000 0.000
```

Results
- Crystal system: tetragonal
- E: -2.89 eV per atom

***

Number 1: total magnetization 2.447 μB/f.u.. Number 2: total magnetization 5.696 μB/f.u.. Number 3: total magnetization 0.085 μB/f.u.. Number 4: total magnetization 0.443 μB/f.u.. Number 5: total magnetization 4.960 μB/f.u.. Number 6: total magnetization 3.646 μB/f.u..